Material: La2MnFe
Method: DFT, GGA-PBE
State: relaxed

The space group is Fm-3m (No. 225) and the conventional cell measures 7.2580, 7.2580 and 7.2580 Å, with angles of 90.00, 90.00 and 90.00 degrees. The inequivalent atoms are La at (0.2500, 0.2500, 0.2500), Mn at (0.0000, 0.0000, 0.0000) and Fe at (0.0000, 0.0000, 0.5000).

The calculation puts the density of states at the Fermi level at 50.0 states/eV per cell. The formation energy from the elements is 0.31 eV/atom.